(1)
## Sm3ScPa2N6 (PBE)

Data for an optimized crystal structure of Sm3ScPa2N6.

a b c (Å): 6.0384 6.0384 6.0942
angles (deg): 99.46 99.46 120.04
With the nearest neighbours (Å) after each atom.
Fractional positions:
1 Sm 0.0000 0.0000 0.0000  6 N 2.56-2.59
2 Sm 0.3353 0.6647 0.0000  6 N 2.56-2.58
3 Sm 0.6647 0.3353 0.0000  6 N 2.56-2.58
4 Sc 0.5000 0.5000 0.5000  6 N 2.39
5 Pa 0.1667 0.8333 0.5000  6 N 2.37-2.38
6 Pa 0.8333 0.1667 0.5000  6 N 2.37-2.38
7 N 0.0913 0.4266 0.2805  2 Pa 2.37, 1 Sc 2.39, 3 Sm 2.58-2.59
8 N 0.2398 0.2398 0.7225  2 Pa 2.38, 1 Sc 2.39, 3 Sm 2.56
9 N 0.4266 0.0913 0.2805  2 Pa 2.37, 1 Sc 2.39, 3 Sm 2.58-2.59
10 N 0.5734 0.9087 0.7195  2 Pa 2.37, 1 Sc 2.39, 3 Sm 2.58-2.59
11 N 0.7602 0.7602 0.2775  2 Pa 2.38, 1 Sc 2.39, 3 Sm 2.56
12 N 0.9087 0.5734 0.7195  2 Pa 2.37, 1 Sc 2.39, 3 Sm 2.58-2.59

Results
Energy relative to the elements, uncorrected, meV per atom: -1630
Electronic total energy, eV/atom: -9.083
Space group: No. 12
Crystal system: monoclinic

(2)
## AlP2Pt (PBE)

Data for an optimized crystal structure of AlP2Pt.

a b c (Å): 6.8253 6.8253 6.8253
angles (deg): 28.14 28.14 28.14
With the nearest neighbours (Å) after each atom.
Fractional positions:
1 Al 0.0000 0.0000 0.0000  3 Pt 2.56, 3 P 2.64
2 P 0.4967 0.4967 0.4967  3 P 2.37, 3 Pt 2.52
3 P 0.7594 0.7594 0.7594  3 P 2.37, 3 Al 2.64
4 Pt 0.2470 0.2470 0.2470  3 P 2.52, 3 Al 2.56

Results
Energy of formation, eV per formula unit: -0.95
Electronic total energy, eV/atom: -5.390
Space group: No. 160
Crystal system: trigonal

(3)
## Er4CdRh5 (PBE)

Data for an optimized crystal structure of Er4CdRh5.

a b c (Å): 3.3872 3.3872 16.5184
angles (deg): 90.00 90.00 90.00
With the nearest neighbours (Å) after each atom.
Fractional positions:
1 Er 0.0000 0.0000 0.1029  8 Rh 2.91-2.94
2 Er 0.0000 0.0000 0.3090  8 Rh 2.86-2.96, 1 Cd 3.16
3 Er 0.0000 0.0000 0.6910  8 Rh 2.86-2.96, 1 Cd 3.16
4 Er 0.0000 0.0000 0.8971  8 Rh 2.91-2.94
5 Cd 0.0000 0.0000 0.5000  8 Rh 2.87, 2 Er 3.16
6 Rh 0.5000 0.5000 0.0000  8 Er 2.94
7 Rh 0.5000 0.5000 0.2032  8 Er 2.91-2.96
8 Rh 0.5000 0.5000 0.4039  4 Er 2.86, 4 Cd 2.87, 1 Rh 3.18
9 Rh 0.5000 0.5000 0.5961  4 Er 2.86, 4 Cd 2.87, 1 Rh 3.18
10 Rh 0.5000 0.5000 0.7968  8 Er 2.91-2.96

Results
Energy of formation, eV per formula unit: -7.96
Electronic total energy, eV/atom: -6.388
Space group: No. 123
Crystal system: tetragonal

(4)
## Dy4Y3In4 (PBE)

Data for an optimized crystal structure of Dy4Y3In4.

a b c (Å): 10.6307 10.6307 10.6307
angles (deg): 160.22 126.97 57.16
With the nearest neighbours (Å) after each atom.
Fractional positions:
1 Dy 0.0243 0.8360 0.1883  4 In 3.18-3.22
2 Dy 0.3524 0.1640 0.1883  4 In 3.18-3.22
3 Dy 0.6476 0.8360 0.8117  4 In 3.18-3.22
4 Dy 0.9757 0.1640 0.8117  4 In 3.18-3.22
5 Y 0.0000 0.5000 0.5000  4 In 3.22
6 Y 0.4035 0.4035 0.0000  6 In 3.12-3.31
7 Y 0.5965 0.5965 0.0000  6 In 3.12-3.31
8 In 0.2682 0.7682 0.5000  2 Y 3.12, 6 Dy 3.21-3.22
9 In 0.2797 0.0000 0.2797  2 Dy 3.18, 6 Y 3.22-3.31
10 In 0.7203 0.0000 0.7203  2 Dy 3.18, 6 Y 3.22-3.31
11 In 0.7318 0.2318 0.5000  2 Y 3.12, 6 Dy 3.21-3.22

Results
Energy of formation, eV per formula unit: -3.40
Electronic total energy, eV/atom: -4.742
Space group: No. 71
Crystal system: orthorhombic